Material: Ho2AgGe
Method: DFT, PBE
State: relaxed

```
Ho2AgGe
1.0
-1.690 0.866 3.873
0.913 -2.537 3.367
4.858 3.149 3.818
Ho Ge Ag
2 1 1
Direct
0.257 0.257 0.228
0.743 0.743 0.772
0.000 0.000 0.000
0.500 0.500 0.500
```

Output
Raw total energy (eV per atom): -4.58
V (Å³/cell): 104
Calculated formation energy (meV/atom): -428

=====

Material: DyHo5Ru4
Method: DFT, PBE
State: relaxed

```
DyHo5Ru4
1.0
4.607 0.000 -1.462
-0.026 6.692 -0.083
-0.143 0.073 7.538
Dy Ru Ho
1 4 5
Direct
0.500 0.000 0.000
0.665 0.751 0.330
0.999 0.250 0.998
0.335 0.249 0.670
0.001 0.750 0.002
0.833 0.997 0.667
0.833 0.498 0.666
0.167 0.003 0.333
0.167 0.502 0.334
0.500 0.500 0.000
```

Output
Raw total energy (eV per atom): -6.75
V (Å³/cell): 231
Calculated formation energy (meV/atom): -293

=====

Material: La3Y
Method: DFT, PBE
State: relaxed

```
La3Y
1.0
3.701 0.000 0.000
0.000 3.701 0.000
0.000 0.000 10.396
La Y
3 1
Direct
0.500 0.500 0.750
0.000 0.000 0.003
0.000 0.000 0.497
0.500 0.500 0.250
```

Output
Raw total energy (eV per atom): -5.29
V (Å³/cell): 142
Calculated formation energy (meV/atom): 19